No. 1
DFT (PBE) results for an optimized crystal structure of MoOs2ICl.

Cell and atoms, written as POSCAR:
```
MoOs2ICl
1.0
4.8562 0.0000 0.0000
0.0000 4.8562 0.0000
0.0000 0.0000 5.3442
Mo Os I Cl
1 2 1 1
Direct
0.0000 0.0000 0.0000 Mo
0.0000 0.5000 0.0000 Os
0.5000 0.0000 0.0000 Os
0.0000 0.0000 0.5000 I
0.5000 0.5000 0.5000 Cl
```

Values from the calculation:
Final energy: -27.04 eV/cell
ΔE_f (raw): 1929 meV per atom
Space-group type: P4/mmm, No. 123



No. 2
DFT (PBE) results for an optimized crystal structure of Mo2PtICl.

Cell and atoms, written as POSCAR:
```
Mo2PtICl
1.0
5.2173 0.0000 0.0000
0.0000 5.2173 0.0000
0.0000 0.0000 5.3119
Mo Pt I Cl
2 1 1 1
Direct
0.0000 0.5000 0.0000 Mo
0.5000 0.0000 0.0000 Mo
0.0000 0.0000 0.0000 Pt
0.0000 0.0000 0.5000 I
0.5000 0.5000 0.5000 Cl
```

Values from the calculation:
Final energy: -24.03 eV/cell
ΔE_f (raw): 1414 meV per atom
Space-group type: P4/mmm, No. 123